1.
Hg2OsRu: optimized geometry, PBEsol.

Summary:
Offset from the most stable computed form, eV/atom: 0.154
Crystal system: orthorhombic
E_form, eV per atom: 0.923
DFT total energy, eV per atom: -4.957

Cell and atoms, written as CIF:
```
data_Hg2OsRu
_space_group_name_H-M_alt 'P 1'
_space_group_IT_number 1
_space_group_name_Hall 'P 1'
_cell_length_a 2.820
_cell_length_b 4.093
_cell_length_c 5.764
_cell_angle_alpha 90.00
_cell_angle_beta 90.00
_cell_angle_gamma 90.00
loop_
_atom_site_label
_atom_site_type_symbol
_atom_site_fract_x
_atom_site_fract_y
_atom_site_fract_z
_atom_site_occupancy
Ru1 Ru 0.500 0.500 0.500 1
Os1 Os 0.500 0.500 0.000 1
Hg1 Hg 0.000 0.000 0.251 1
Hg2 Hg 0.000 0.000 0.749 1
```

---

2.
HgOs3Ru: optimized geometry, PBEsol.

Summary:
Crystal system: cubic
E_form, eV per atom: 3.814
DFT total energy, eV per atom: -5.663

Cell and atoms, written as CIF:
```
data_HgOs3Ru
_space_group_name_H-M_alt 'P 1'
_space_group_IT_number 1
_space_group_name_Hall 'P 1'
_cell_length_a 4.741
_cell_length_b 4.741
_cell_length_c 4.741
_cell_angle_alpha 90.00
_cell_angle_beta 90.00
_cell_angle_gamma 90.00
loop_
_atom_site_label
_atom_site_type_symbol
_atom_site_fract_x
_atom_site_fract_y
_atom_site_fract_z
_atom_site_occupancy
Os1 Os 0.000 0.500 0.000 1
Os2 Os 0.500 0.000 0.000 1
Os3 Os 0.000 0.000 0.500 1
Hg1 Hg 0.000 0.000 0.000 1
Ru1 Ru 0.500 0.500 0.500 1
```

---

3.
HgOsRu: optimized geometry, PBEsol.

Summary:
Crystal system: trigonal
E_form, eV per atom: 0.928
DFT total energy, eV per atom: -6.724

Cell and atoms, written as CIF:
```
data_HgOsRu
_space_group_name_H-M_alt 'P 1'
_space_group_IT_number 1
_space_group_name_Hall 'P 1'
_cell_length_a 2.740
_cell_length_b 4.443
_cell_length_c 4.443
_cell_angle_alpha 120.00
_cell_angle_beta 90.00
_cell_angle_gamma 90.00
loop_
_atom_site_label
_atom_site_type_symbol
_atom_site_fract_x
_atom_site_fract_y
_atom_site_fract_z
_atom_site_occupancy
Os1 Os 0.724 0.333 0.667 1
Ru1 Ru 0.244 0.667 0.333 1
Hg1 Hg 0.032 0.000 0.000 1
```

---

4.
HgOs2S: optimized geometry, PBEsol.

Summary:
Crystal system: cubic
ΔE_f (raw), eV/atom: 1.1615
DFT total energy, eV per atom: -6.184

Cell and atoms, written as CIF:
```
data_HgOs2S
_space_group_name_H-M_alt 'P 1'
_space_group_IT_number 1
_space_group_name_Hall 'P 1'
_cell_length_a 4.401
_cell_length_b 4.401
_cell_length_c 4.401
_cell_angle_alpha 60.00
_cell_angle_beta 60.00
_cell_angle_gamma 60.00
loop_
_atom_site_label
_atom_site_type_symbol
_atom_site_fract_x
_atom_site_fract_y
_atom_site_fract_z
_atom_site_occupancy
S1 S 0.000 0.000 0.000 1
Hg1 Hg 0.500 0.500 0.500 1
Os1 Os 0.250 0.250 0.250 1
Os2 Os 0.750 0.750 0.750 1
```

---

5.
Hg3OsS: optimized geometry, PBEsol.

Summary:
Crystal system: cubic
ΔE_f (raw), eV/atom: 1.1643
DFT total energy, eV per atom: -2.496

Cell and atoms, written as CIF:
```
data_Hg3OsS
_space_group_name_H-M_alt 'P 1'
_space_group_IT_number 1
_space_group_name_Hall 'P 1'
_cell_length_a 5.164
_cell_length_b 5.164
_cell_length_c 5.164
_cell_angle_alpha 90.00
_cell_angle_beta 90.00
_cell_angle_gamma 90.00
loop_
_atom_site_label
_atom_site_type_symbol
_atom_site_fract_x
_atom_site_fract_y
_atom_site_fract_z
_atom_site_occupancy
Hg1 Hg 0.000 0.000 0.500 1
Hg2 Hg 0.500 0.000 0.000 1
Hg3 Hg 0.000 0.500 0.000 1
S1 S 0.500 0.500 0.500 1
Os1 Os 0.000 0.000 0.000 1
```

---

6.
HgSb2Os: optimized geometry, PBEsol.

Summary:
Crystal system: monoclinic
ΔE_f (raw), eV/atom: 0.1930
DFT total energy, eV per atom: -5.281

Cell and atoms, written as CIF:
```
data_HgSb2Os
_space_group_name_H-M_alt 'P 1'
_space_group_IT_number 1
_space_group_name_Hall 'P 1'
_cell_length_a 3.153
_cell_length_b 3.153
_cell_length_c 8.891
_cell_angle_alpha 90.00
_cell_angle_beta 90.06
_cell_angle_gamma 90.00
loop_
_atom_site_label
_atom_site_type_symbol
_atom_site_fract_x
_atom_site_fract_y
_atom_site_fract_z
_atom_site_occupancy
Os1 Os 0.500 0.500 0.500 1
Hg1 Hg 0.500 0.500 0.000 1
Sb1 Sb 0.001 0.000 0.692 1
Sb2 Sb 0.999 0.000 0.308 1
```

---

- What is the formula in the second record?
  HgOs3Ru

---

Please write out number 1 again, unchanged.
Hg2OsRu: optimized geometry, PBEsol.

Summary:
Offset from the most stable computed form, eV/atom: 0.154
Crystal system: orthorhombic
E_form, eV per atom: 0.923
DFT total energy, eV per atom: -4.957

Cell and atoms, written as CIF:
```
data_Hg2OsRu
_space_group_name_H-M_alt 'P 1'
_space_group_IT_number 1
_space_group_name_Hall 'P 1'
_cell_length_a 2.820
_cell_length_b 4.093
_cell_length_c 5.764
_cell_angle_alpha 90.00
_cell_angle_beta 90.00
_cell_angle_gamma 90.00
loop_
_atom_site_label
_atom_site_type_symbol
_atom_site_fract_x
_atom_site_fract_y
_atom_site_fract_z
_atom_site_occupancy
Ru1 Ru 0.500 0.500 0.500 1
Os1 Os 0.500 0.500 0.000 1
Hg1 Hg 0.000 0.000 0.251 1
Hg2 Hg 0.000 0.000 0.749 1
```